# BaPtWO6

An optimized crystal structure of BaPtWO6 (PBE+U, Alexandria via LeMat-Bulk).

Lattice parameters (Å, degrees): 5.3709 5.3709 5.7875 90.00 90.00 120.00
Last column: nearest neighbours and their distance in Å.
Sites, in units of the cell vectors:
Ba  0.0000  0.0000  0.0000  6 O 2.72
Pt  0.3333  0.6667  0.5000  6 O 2.05
W  0.6667  0.3333  0.5000  6 O 1.96
O  0.3865  0.0122  0.6902  1 W 1.96, 1 Pt 2.05
O  0.3865  0.3744  0.3098  1 W 1.96, 1 Pt 2.05
O  0.6256  0.0122  0.3098  1 W 1.96, 1 Pt 2.05
O  0.6256  0.6135  0.6902  1 W 1.96, 1 Pt 2.05
O  0.9878  0.3744  0.6902  1 W 1.96, 1 Pt 2.05
O  0.9878  0.6135  0.3098  1 W 1.96, 1 Pt 2.05

Properties
The calculated density is 7.0 g/cm³. As for the symmetry: P312, No. 149. The value obtained for the total energy is -6.77 eV per atom.